This record from Alexandria via LeMat-Bulk describes Li2ScTc after structural relaxation. The functional is PBE-GGA.

The structure in POSCAR format:
```
Li2ScTc
1.0
2.813 0.000 0.000
0.000 5.061 0.000
-0.739 0.000 4.728
Li Sc Tc
2 1 1
Cartesian
0.451 0.000 1.325
1.623 0.000 3.403
1.407 2.530 0.000
-0.370 2.530 2.364
```

Output
The value obtained for the offset from the most stable computed form is 0.0380 eV per atom. For the volume, the calculation gives 16.83 Å³/atom.